# AcCoP2O8

A geometry-optimized AcCoP2O8 structure (GGA+U, Alexandria).

Results
VASP energy in eV for the cell shown: -174.89

a b c (Å): 7.9185 5.2794 7.5256
angles (deg): 90.00 96.43 90.00
Closest atoms and distances in Å follow each position.
Space group C2/m (No. 12)
One atom of each set of equivalent atoms:
Ac  0.0000  0.0000  0.0000  6 O 2.58-2.60
Co  0.0000  0.0000  0.5000  2 O 1.83
P  0.1313  0.5000  0.2847  4 O 1.54-1.56
O  0.0214  0.2569  0.2931  1 P 1.56
O  0.1946  0.5000  0.0959  1 P 1.56
O  0.2312  0.0000  0.5531  1 P 1.54